The following is a DFT calculation (GGA-PBE) of a geometry-optimized LaCe2Tl2 structure. Values from VASP.

Cell and atoms, written as Quantum ESPRESSO input:
```
&SYSTEM
  ibrav = 0, nat = 10, ntyp = 3
/
ATOMIC_SPECIES
La 138.91 La.upf
Ce 140.12 Ce.upf
Tl 204.38 Tl.upf
CELL_PARAMETERS angstrom
5.6486 -2.6223 0.0000
5.6486 2.6223 0.0000
-1.6746 0.0000 9.7758
ATOMIC_POSITIONS crystal
La 0.2308 0.2308 0.2432
La 0.7692 0.7692 0.7568
Ce 0.0569 0.0569 0.8388
Ce 0.1129 0.1129 0.5769
Ce 0.8871 0.8871 0.4231
Ce 0.9431 0.9431 0.1612
Tl 0.3630 0.3630 0.9466
Tl 0.4351 0.4351 0.6375
Tl 0.5649 0.5649 0.3625
Tl 0.6370 0.6370 0.0534
```

The following is a DFT calculation (GGA-PBE) of a geometry-optimized LaCeTl5 structure. Values from VASP.

Cell and atoms, written as Quantum ESPRESSO input:
```
&SYSTEM
  ibrav = 0, nat = 7, ntyp = 3
/
ATOMIC_SPECIES
La 138.91 La.upf
Ce 140.12 Ce.upf
Tl 204.38 Tl.upf
CELL_PARAMETERS angstrom
5.3537 0.0000 0.0000
0.0000 5.3537 0.0000
0.0000 0.0000 7.7348
ATOMIC_POSITIONS crystal
La 0.0000 0.0000 0.0000
Ce 0.5000 0.5000 0.5000
Tl 0.0000 0.5000 0.2681
Tl 0.0000 0.5000 0.7319
Tl 0.5000 0.0000 0.2681
Tl 0.5000 0.0000 0.7319
Tl 0.5000 0.5000 0.0000
```

The following is a DFT calculation (GGA-PBE) of a geometry-optimized La8CeTl2 structure. Values from VASP.

Cell and atoms, written as Quantum ESPRESSO input:
```
&SYSTEM
  ibrav = 0, nat = 11, ntyp = 3
/
ATOMIC_SPECIES
La 138.91 La.upf
Ce 140.12 Ce.upf
Tl 204.38 Tl.upf
CELL_PARAMETERS angstrom
8.9205 -3.3920 0.0000
8.9205 3.3920 0.0000
-1.5395 0.0000 6.2222
ATOMIC_POSITIONS crystal
La 0.0816 0.0816 0.4564
La 0.1651 0.6544 0.0020
La 0.2930 0.2930 0.3592
La 0.3456 0.8349 0.9980
La 0.6544 0.1651 0.0020
La 0.7070 0.7070 0.6408
La 0.8349 0.3456 0.9980
La 0.9184 0.9184 0.5436
Ce 0.5000 0.5000 0.5000
Tl 0.2404 0.2404 0.8314
Tl 0.7596 0.7596 0.1686
```

The following is a DFT calculation (GGA-PBE) of a geometry-optimized LaCeTl4 structure. Values from VASP.

Values from the calculation:
* energy above the most stable polymorph in this dataset: 0.00 eV per formula unit

Cell and atoms, written as Quantum ESPRESSO input:
```
&SYSTEM
  ibrav = 0, nat = 6, ntyp = 3
/
ATOMIC_SPECIES
La 138.91 La.upf
Ce 140.12 Ce.upf
Tl 204.38 Tl.upf
CELL_PARAMETERS angstrom
4.4101 -2.5431 0.0000
4.4101 2.5431 0.0000
-0.0120 0.0000 8.0335
ATOMIC_POSITIONS crystal
La 0.0000 0.0000 0.0000
Ce 0.0000 0.0000 0.5000
Tl 0.3334 0.3334 0.1942
Tl 0.3333 0.3333 0.6814
Tl 0.6667 0.6667 0.3186
Tl 0.6666 0.6666 0.8058
```

The following is a DFT calculation (GGA-PBE) of a geometry-optimized La2CeTl3 structure. Values from VASP.

Values from the calculation:
* energy above the most stable polymorph in this dataset: 0.95 eV per formula unit

Cell and atoms, written as Quantum ESPRESSO input:
```
&SYSTEM
  ibrav = 0, nat = 12, ntyp = 3
/
ATOMIC_SPECIES
La 138.91 La.upf
Ce 140.12 Ce.upf
Tl 204.38 Tl.upf
CELL_PARAMETERS angstrom
1.8861 -15.3217 0.0000
1.8861 15.3217 0.0000
0.0000 0.0000 6.7634
ATOMIC_POSITIONS crystal
La 0.0052 0.9948 0.7500
La 0.1529 0.8471 0.2500
La 0.8471 0.1529 0.7500
La 0.9948 0.0052 0.2500
Ce 0.3311 0.6689 0.2500
Ce 0.6689 0.3311 0.7500
Tl 0.2561 0.7439 0.7500
Tl 0.4227 0.5773 0.5068
Tl 0.4227 0.5773 0.9932
Tl 0.5773 0.4227 0.0068
Tl 0.5773 0.4227 0.4932
Tl 0.7439 0.2561 0.2500
```

The following is a DFT calculation (GGA-PBE) of a geometry-optimized La2Ce3Tl4 structure. Values from VASP.

Cell and atoms, written as Quantum ESPRESSO input:
```
&SYSTEM
  ibrav = 0, nat = 9, ntyp = 3
/
ATOMIC_SPECIES
La 138.91 La.upf
Ce 140.12 Ce.upf
Tl 204.38 Tl.upf
CELL_PARAMETERS angstrom
4.8266 -2.7802 0.0000
4.8266 2.7802 0.0000
-0.4646 0.0000 9.8812
ATOMIC_POSITIONS crystal
La 0.1779 0.1779 0.2448
La 0.8221 0.8221 0.7552
Ce 0.1340 0.1340 0.5411
Ce 0.5000 0.5000 0.0000
Ce 0.8660 0.8660 0.4589
Tl 0.1613 0.1613 0.8933
Tl 0.4745 0.4745 0.6539
Tl 0.5255 0.5255 0.3461
Tl 0.8387 0.8387 0.1067
```

The following is a DFT calculation (GGA-PBE) of a geometry-optimized La2CeTl9 structure. Values from VASP.

Cell and atoms, written as Quantum ESPRESSO input:
```
&SYSTEM
  ibrav = 0, nat = 12, ntyp = 3
/
ATOMIC_SPECIES
La 138.91 La.upf
Ce 140.12 Ce.upf
Tl 204.38 Tl.upf
CELL_PARAMETERS angstrom
4.8744 0.0000 0.0000
0.0000 4.8744 0.0000
0.0000 0.0000 14.6207
ATOMIC_POSITIONS crystal
La 0.0000 0.0000 0.1683
La 0.0000 0.0000 0.8317
Ce 0.0000 0.0000 0.5000
Tl 0.0000 0.5000 0.0000
Tl 0.0000 0.5000 0.3361
Tl 0.0000 0.5000 0.6639
Tl 0.5000 0.0000 0.0000
Tl 0.5000 0.0000 0.3361
Tl 0.5000 0.0000 0.6639
Tl 0.5000 0.5000 0.1675
Tl 0.5000 0.5000 0.5000
Tl 0.5000 0.5000 0.8325
```

The following is a DFT calculation (GGA-PBE) of a geometry-optimized LaCe2Tl structure. Values from VASP.

Values from the calculation:
* energy above the most stable polymorph in this dataset: 0.57 eV per formula unit

Cell and atoms, written as Quantum ESPRESSO input:
```
&SYSTEM
  ibrav = 0, nat = 4, ntyp = 3
/
ATOMIC_SPECIES
La 138.91 La.upf
Ce 140.12 Ce.upf
Tl 204.38 Tl.upf
CELL_PARAMETERS angstrom
3.5297 0.0000 0.0000
0.0000 3.5297 0.0000
0.0000 0.0000 9.7392
ATOMIC_POSITIONS crystal
La 0.0000 0.0000 0.0000
Ce 0.5000 0.5000 0.2635
Ce 0.5000 0.5000 0.7365
Tl 0.0000 0.0000 0.5000
```

| no. | calculated volume (Å³/cell) | raw total energy (eV/atom) |
| --- | --- | --- |
| 1 | 289.61 | -4.482 |
| 2 | 221.70 | -3.351 |
| 3 | 376.55 | -4.604 |
| 4 | 180.19 | -3.649 |
| 5 | 390.89 | -4.005 |
| 6 | 265.19 | -4.373 |
| 7 | 347.39 | -3.410 |
| 8 | 121.34 | -4.816 |